<P>
The following is a PBE-GGA calculation of a geometry-optimized ZrGePCl2 structure, from the Alexandria database.

Geometry as CIF:
```
data_ZrGePCl2
_cell_length_a 4.934
_cell_length_b 4.934
_cell_length_c 5.264
_cell_angle_alpha 90.00
_cell_angle_beta 90.00
_cell_angle_gamma 90.00
_space_group_name_H-M_alt 'P 4/m m m'
_space_group_IT_number 123
_space_group_name_Hall '-P 4 2'
loop_
_atom_site_label
_atom_site_fract_x
_atom_site_fract_y
_atom_site_fract_z
Zr1 0.000 0.000 0.000
Ge1 0.500 0.500 0.500
P1 0.000 0.000 0.500
Cl1 0.000 0.500 0.000
```


<Q>
The following is a PBE-GGA calculation of a geometry-optimized ZrGePCl2 structure, from the Alexandria database.

Geometry as CIF:
```
data_ZrGePCl2
_cell_length_a 4.757
_cell_length_b 4.757
_cell_length_c 5.030
_cell_angle_alpha 90.00
_cell_angle_beta 90.00
_cell_angle_gamma 90.00
_space_group_name_H-M_alt 'P 4/m m m'
_space_group_IT_number 123
_space_group_name_Hall '-P 4 2'
loop_
_atom_site_label
_atom_site_fract_x
_atom_site_fract_y
_atom_site_fract_z
Zr1 0.000 0.000 0.000
Ge1 0.500 0.500 0.500
P1 0.500 0.500 0.000
Cl1 0.000 0.500 0.500
```


Which is most stable, and by how much? <P>, by 536 meV per atom.


<P>
The following is a PBE-GGA calculation of a geometry-optimized Ge2PbCl2 structure, from the Alexandria database.

Geometry as CIF:
```
data_Ge2PbCl2
_cell_length_a 3.661
_cell_length_b 3.661
_cell_length_c 22.996
_cell_angle_alpha 90.00
_cell_angle_beta 90.00
_cell_angle_gamma 90.00
_space_group_name_H-M_alt 'I 4/m m m'
_space_group_IT_number 139
_space_group_name_Hall '-I 4 2'
loop_
_atom_site_label
_atom_site_fract_x
_atom_site_fract_y
_atom_site_fract_z
Ge1 0.000 0.500 0.250
Pb1 0.000 0.000 0.000
Cl1 0.000 0.000 0.428
```


<Q>
The following is a PBE-GGA calculation of a geometry-optimized Ge2PbCl2 structure, from the Alexandria database.

Geometry as CIF:
```
data_Ge2PbCl2
_cell_length_a 8.853
_cell_length_b 8.853
_cell_length_c 3.258
_cell_angle_alpha 90.00
_cell_angle_beta 90.00
_cell_angle_gamma 90.00
_space_group_name_H-M_alt 'P 4/m b m'
_space_group_IT_number 127
_space_group_name_Hall '-P 4 2ab'
loop_
_atom_site_label
_atom_site_fract_x
_atom_site_fract_y
_atom_site_fract_z
Ge1 0.222 0.278 0.000
Pb1 0.000 0.000 0.500
Cl1 0.122 0.622 0.500
```


Which is most stable, and by how much? <P>, by 300 meV per atom.


<P>
The following is a PBE-GGA calculation of a geometry-optimized Ge2PbCl structure, from the Alexandria database.

Geometry as CIF:
```
data_Ge2PbCl
_cell_length_a 4.080
_cell_length_b 4.080
_cell_length_c 24.750
_cell_angle_alpha 90.00
_cell_angle_beta 90.00
_cell_angle_gamma 90.00
_space_group_name_H-M_alt 'I -4 2 d'
_space_group_IT_number 122
_space_group_name_Hall 'I -4 2bw'
loop_
_atom_site_label
_atom_site_fract_x
_atom_site_fract_y
_atom_site_fract_z
Ge1 0.209 0.250 0.125
Pb1 0.000 0.000 0.000
Cl1 0.000 0.000 0.500
```


<Q>
The following is a PBE-GGA calculation of a geometry-optimized Ge2PbCl structure, from the Alexandria database.

Geometry as CIF:
```
data_Ge2PbCl
_cell_length_a 7.186
_cell_length_b 7.186
_cell_length_c 7.186
_cell_angle_alpha 90.00
_cell_angle_beta 90.00
_cell_angle_gamma 90.00
_space_group_name_H-M_alt 'F m -3 m'
_space_group_IT_number 225
_space_group_name_Hall '-F 4 2 3'
loop_
_atom_site_label
_atom_site_fract_x
_atom_site_fract_y
_atom_site_fract_z
Ge1 0.250 0.250 0.250
Pb1 0.000 0.000 0.000
Cl1 0.000 0.000 0.500
```


Which is most stable, and by how much? <P>, by 157 meV per atom.